Version a
First-principles (GGA-PBE) data for ZnCd2Au8 after structural relaxation, as listed in Alexandria via LeMat-Bulk.

Cell and atoms, written as CIF:
```
data_ZnCd2Au8
_space_group_name_H-M_alt 'P 1'
_space_group_IT_number 1
_cell_length_a 4.8991
_cell_length_b 5.6322
_cell_length_c 7.7832
_cell_angle_alpha 100.58
_cell_angle_beta 91.08
_cell_angle_gamma 98.98
loop_
_space_group_symop_operation_xyz
'x,y,z'
loop_
_atom_site_label
_atom_site_type_symbol
_atom_site_fract_x
_atom_site_fract_y
_atom_site_fract_z
_atom_site_occupancy
Zn1 Zn 0.5000 0.0000 0.0000 1
Au1 Au 0.9379 0.7393 0.9647 1
Au2 Au 0.6113 0.4702 0.1843 1
Au3 Au 0.3084 0.2653 0.4408 1
Au4 Au 0.7649 0.0256 0.2980 1
Au5 Au 0.3887 0.5298 0.8157 1
Au6 Au 0.6916 0.7347 0.5592 1
Au7 Au 0.2351 0.9744 0.7020 1
Au8 Au 0.0621 0.2607 0.0353 1
Cd1 Cd 0.1752 0.7149 0.3321 1
Cd2 Cd 0.8248 0.2851 0.6679 1
```

As for the space-group type: P-1, No. 2.

=====

Version b
First-principles (GGA-PBE) data for ZnCd2Au8 after structural relaxation, as listed in Alexandria via LeMat-Bulk.

Cell and atoms, written as CIF:
```
data_ZnCd2Au8
_space_group_name_H-M_alt 'P 1'
_space_group_IT_number 1
_cell_length_a 5.5258
_cell_length_b 8.1486
_cell_length_c 7.6643
_cell_angle_alpha 57.89
_cell_angle_beta 68.60
_cell_angle_gamma 46.65
loop_
_space_group_symop_operation_xyz
'x,y,z'
loop_
_atom_site_label
_atom_site_type_symbol
_atom_site_fract_x
_atom_site_fract_y
_atom_site_fract_z
_atom_site_occupancy
Au1 Au 0.9126 0.0997 0.2188 1
Au2 Au 0.9126 0.3185 0.7812 1
Au3 Au 0.3376 0.3874 0.0000 1
Au4 Au 0.6624 0.6126 0.0000 1
Au5 Au 0.5000 0.7814 0.4372 1
Au6 Au 0.5000 0.2186 0.5628 1
Au7 Au 0.0874 0.6815 0.2188 1
Au8 Au 0.0874 0.9003 0.7812 1
Cd1 Cd 0.0000 0.3041 0.3918 1
Cd2 Cd 0.0000 0.6959 0.6082 1
Zn1 Zn 0.5000 0.0000 0.0000 1
```

As for the space-group type: C2/m, No. 12.

=====

Best to worst by energy: version a, version b.

=====

Version a
First-principles (GGA-PBE) data for Zn3Cd2Au4 after structural relaxation, as listed in Alexandria via LeMat-Bulk.

Cell and atoms, written as CIF:
```
data_Zn3Cd2Au4
_space_group_name_H-M_alt 'P 1'
_space_group_IT_number 1
_cell_length_a 5.4566
_cell_length_b 8.6129
_cell_length_c 7.5895
_cell_angle_alpha 90.00
_cell_angle_beta 111.07
_cell_angle_gamma 90.00
loop_
_space_group_symop_operation_xyz
'x,y,z'
loop_
_atom_site_label
_atom_site_type_symbol
_atom_site_fract_x
_atom_site_fract_y
_atom_site_fract_z
_atom_site_occupancy
Zn1 Zn 0.4997 0.2500 0.4993 1
Zn2 Zn 0.5000 0.5000 0.0000 1
Zn3 Zn 0.0003 0.7500 0.5007 1
Zn4 Zn 0.9997 0.2500 0.4993 1
Zn5 Zn 0.5003 0.7500 0.5007 1
Zn6 Zn 0.0000 0.0000 0.0000 1
Cd1 Cd 0.3978 0.0659 0.7956 1
Cd2 Cd 0.1022 0.5659 0.2044 1
Cd3 Cd 0.6022 0.9341 0.2044 1
Cd4 Cd 0.8978 0.4341 0.7956 1
Au1 Au 0.3115 0.4957 0.6229 1
Au2 Au 0.3030 0.2500 0.1061 1
Au3 Au 0.8030 0.2500 0.1061 1
Au4 Au 0.8115 0.0043 0.6229 1
Au5 Au 0.6970 0.7500 0.8939 1
Au6 Au 0.1970 0.7500 0.8939 1
Au7 Au 0.6885 0.5043 0.3771 1
Au8 Au 0.1885 0.9957 0.3771 1
```

As for the space-group type: Cmce, No. 64.

=====

Version b
First-principles (GGA-PBE) data for Zn3Cd2Au4 after structural relaxation, as listed in Alexandria via LeMat-Bulk.

Cell and atoms, written as CIF:
```
data_Zn3Cd2Au4
_space_group_name_H-M_alt 'P 1'
_space_group_IT_number 1
_cell_length_a 4.1537
_cell_length_b 5.0023
_cell_length_c 8.7583
_cell_angle_alpha 76.54
_cell_angle_beta 90.65
_cell_angle_gamma 64.95
loop_
_space_group_symop_operation_xyz
'x,y,z'
loop_
_atom_site_label
_atom_site_type_symbol
_atom_site_fract_x
_atom_site_fract_y
_atom_site_fract_z
_atom_site_occupancy
Au1 Au 0.9660 0.0747 0.6518 1
Au2 Au 0.0340 0.9253 0.3482 1
Au3 Au 0.6426 0.7212 0.8891 1
Au4 Au 0.3574 0.2788 0.1109 1
Zn1 Zn 0.0000 0.0000 0.0000 1
Zn2 Zn 0.3501 0.3009 0.4402 1
Zn3 Zn 0.6499 0.6991 0.5598 1
Cd1 Cd 0.3078 0.3913 0.7725 1
Cd2 Cd 0.6922 0.6087 0.2275 1
```

As for the space-group type: P-1, No. 2.

=====

Best to worst by energy: version a, version b.

=====

Version a
First-principles (GGA-PBE) data for Zn3CdAu after structural relaxation, as listed in Alexandria via LeMat-Bulk.

Cell and atoms, written as CIF:
```
data_Zn3CdAu
_space_group_name_H-M_alt 'P 1'
_space_group_IT_number 1
_cell_length_a 6.1878
_cell_length_b 7.2316
_cell_length_c 8.5800
_cell_angle_alpha 111.87
_cell_angle_beta 90.00
_cell_angle_gamma 90.00
loop_
_space_group_symop_operation_xyz
'x,y,z'
loop_
_atom_site_label
_atom_site_type_symbol
_atom_site_fract_x
_atom_site_fract_y
_atom_site_fract_z
_atom_site_occupancy
Zn1 Zn 0.5769 0.6724 0.3710 1
Zn2 Zn 0.0769 0.3276 0.1290 1
Zn3 Zn 0.3044 0.5462 0.9624 1
Zn4 Zn 0.8968 0.8335 0.6229 1
Zn5 Zn 0.3968 0.1665 0.8771 1
Zn6 Zn 0.6956 0.4538 0.0376 1
Zn7 Zn 0.9231 0.6724 0.8710 1
Zn8 Zn 0.4231 0.3276 0.6290 1
Zn9 Zn 0.1956 0.5462 0.4624 1
Zn10 Zn 0.1032 0.1665 0.3771 1
Zn11 Zn 0.8044 0.4538 0.5376 1
Zn12 Zn 0.6032 0.8335 0.1229 1
Cd1 Cd 0.0302 0.7384 0.2477 1
Cd2 Cd 0.4698 0.7384 0.7477 1
Cd3 Cd 0.5302 0.2616 0.2523 1
Cd4 Cd 0.9698 0.2616 0.7523 1
Au1 Au 0.2832 0.9522 0.5527 1
Au2 Au 0.7832 0.0478 0.9473 1
Au3 Au 0.7168 0.0478 0.4473 1
Au4 Au 0.2168 0.9522 0.0527 1
```

As for the space-group type: P2_1/c, No. 14.

=====

Version b
First-principles (GGA-PBE) data for Zn3CdAu after structural relaxation, as listed in Alexandria via LeMat-Bulk.

Cell and atoms, written as CIF:
```
data_Zn3CdAu
_space_group_name_H-M_alt 'P 1'
_space_group_IT_number 1
_cell_length_a 4.9729
_cell_length_b 4.9729
_cell_length_c 4.9729
_cell_angle_alpha 90.00
_cell_angle_beta 90.00
_cell_angle_gamma 90.00
loop_
_space_group_symop_operation_xyz
'x,y,z'
loop_
_atom_site_label
_atom_site_type_symbol
_atom_site_fract_x
_atom_site_fract_y
_atom_site_fract_z
_atom_site_occupancy
Au1 Au 0.0000 0.0000 0.0000 1
Zn1 Zn 0.0000 0.5000 0.0000 1
Zn2 Zn 0.5000 0.0000 0.0000 1
Zn3 Zn 0.0000 0.0000 0.5000 1
Cd1 Cd 0.5000 0.5000 0.5000 1
```

As for the space-group type: Pm-3m, No. 221.

=====

Best to worst by energy: version a, version b.

=====

Version a
First-principles (GGA-PBE) data for Zn2Cd2Au3 after structural relaxation, as listed in Alexandria via LeMat-Bulk.

Cell and atoms, written as CIF:
```
data_Zn2Cd2Au3
_space_group_name_H-M_alt 'P 1'
_space_group_IT_number 1
_cell_length_a 4.5408
_cell_length_b 4.4180
_cell_length_c 8.2984
_cell_angle_alpha 90.00
_cell_angle_beta 109.60
_cell_angle_gamma 119.11
loop_
_space_group_symop_operation_xyz
'x,y,z'
loop_
_atom_site_label
_atom_site_type_symbol
_atom_site_fract_x
_atom_site_fract_y
_atom_site_fract_z
_atom_site_occupancy
Au1 Au 0.4689 0.7342 0.2304 1
Au2 Au 0.5311 0.2658 0.7696 1
Au3 Au 0.0000 0.0000 0.0000 1
Zn1 Zn 0.7404 0.3699 0.1289 1
Zn2 Zn 0.2596 0.6301 0.8711 1
Cd1 Cd 0.7496 0.8751 0.6058 1
Cd2 Cd 0.2504 0.1249 0.3942 1
```

As for the space-group type: C2/m, No. 12.

=====

Version b
First-principles (GGA-PBE) data for Zn2Cd2Au3 after structural relaxation, as listed in Alexandria via LeMat-Bulk.

Cell and atoms, written as CIF:
```
data_Zn2Cd2Au3
_space_group_name_H-M_alt 'P 1'
_space_group_IT_number 1
_cell_length_a 3.2151
_cell_length_b 6.5784
_cell_length_c 7.2373
_cell_angle_alpha 117.41
_cell_angle_beta 90.00
_cell_angle_gamma 104.14
loop_
_space_group_symop_operation_xyz
'x,y,z'
loop_
_atom_site_label
_atom_site_type_symbol
_atom_site_fract_x
_atom_site_fract_y
_atom_site_fract_z
_atom_site_occupancy
Au1 Au 0.4043 0.8086 0.5510 1
Au2 Au 0.5000 0.0000 0.0000 1
Au3 Au 0.5957 0.1914 0.4490 1
Cd1 Cd 0.8653 0.7306 0.1827 1
Cd2 Cd 0.1347 0.2694 0.8173 1
Zn1 Zn 0.1830 0.3659 0.2572 1
Zn2 Zn 0.8170 0.6341 0.7428 1
```

As for the space-group type: C2/m, No. 12.

=====

Best to worst by energy: version a, version b.